Record 1
VASP calculation (GGA-PBE) on Y3Ge2S after structural relaxation.

a b c (Å): 4.0114 5.7888 12.4436
angles (deg): 90.00 90.00 90.00
Space group Immm (No. 71)
Unique sites:
1 Y 0.0000 0.0000 0.0000 [2 per cell]
2 Y 0.0000 0.0000 0.3388 [4 per cell]
3 Ge 0.0000 0.5000 0.3342 [4 per cell]
4 S 0.0000 0.5000 0.0000 [2 per cell]

M_tot ... 0.0 μB/f.u.
Raw total energy ... -6.699 eV per atom

=====

Record 2
VASP calculation (GGA-PBE) on MgZn2P2 after structural relaxation.

a b c (Å): 7.0225 7.0225 3.4629
angles (deg): 90.00 90.00 90.00
Space group P4/mbm (No. 127)
Unique sites:
1 Mg 0.0000 0.0000 0.0000 [2 per cell]
2 Zn 0.1327 0.3673 0.5000 [4 per cell]
3 P 0.1770 0.6770 0.0000 [4 per cell]

M_tot ... 0.0 μB/f.u.
Raw total energy ... -2.967 eV per atom

=====

Record 3
VASP calculation (GGA-PBE) on BiAsPSe2 after structural relaxation.

a b c (Å): 4.9446 4.9446 4.7444
angles (deg): 90.00 90.00 90.00
Space group P4/mmm (No. 123)
Unique sites:
1 Bi 0.0000 0.0000 0.0000 [1 per cell]
2 As 0.5000 0.5000 0.0000 [1 per cell]
3 P 0.5000 0.5000 0.5000 [1 per cell]
4 Se 0.0000 0.5000 0.5000 [2 per cell]

Polymorph energy (0 for the lowest one) ... 0 meV/atom
M_tot ... 0.0 μB/f.u.
Raw total energy ... -3.850 eV per atom

=====

Record 4
VASP calculation (GGA-PBE) on ErHf2Al9 after structural relaxation.

a b c (Å): 4.1364 4.1364 12.4192
angles (deg): 90.00 90.00 90.00
Space group P4/mmm (No. 123)
Unique sites:
1 Er 0.0000 0.0000 0.0000 [1 per cell]
2 Hf 0.0000 0.0000 0.3354 [2 per cell]
3 Al 0.0000 0.5000 0.1735 [4 per cell]
4 Al 0.0000 0.5000 0.5000 [2 per cell]
5 Al 0.5000 0.5000 0.0000 [1 per cell]
6 Al 0.5000 0.5000 0.3365 [2 per cell]

Polymorph energy (0 for the lowest one) ... 0 meV/atom
M_tot ... 0.0 μB/f.u.
Raw total energy ... -5.233 eV per atom

=====

Record 5
VASP calculation (GGA-PBE) on Dy2ZnCd5 after structural relaxation.

a b c (Å): 4.6414 4.6414 32.8506
angles (deg): 90.00 90.00 120.00
Space group R-3m (No. 166, hexagonal axes)
Unique sites:
1 Dy 0.0000 0.0000 0.0899 [6 per cell]
2 Zn 0.0000 0.0000 0.0000 [3 per cell]
3 Cd 0.0000 0.0000 0.1963 [6 per cell]
4 Cd 0.0000 0.0000 0.3619 [6 per cell]
5 Cd 0.0000 0.0000 0.5000 [3 per cell]

M_tot ... 0.0 μB/f.u.
Raw total energy ... -1.936 eV per atom

=====

Record 6
VASP calculation (GGA-PBE) on Be3SbF after structural relaxation.

a b c (Å): 4.7213 4.7213 4.7213
angles (deg): 90.00 90.00 90.00
Space group Pm-3m (No. 221)
Unique sites:
1 Be 0.0000 0.0000 0.5000 [3 per cell]
2 Sb 0.0000 0.0000 0.0000 [1 per cell]
3 F 0.5000 0.5000 0.5000 [1 per cell]

Polymorph energy (0 for the lowest one) ... 670 meV/atom
M_tot ... 0.0 μB/f.u.
Raw total energy ... -2.545 eV per atom

=====

Record 7
VASP calculation (GGA-PBE) on La2Y3HoTm6 after structural relaxation.

a b c (Å): 6.1697 10.6810 11.7402
angles (deg): 90.00 100.06 90.00
Space group C2/m (No. 12)
Unique sites:
1 La 0.0000 0.1666 0.0000 [4 per cell]
2 Y 0.0000 0.0000 0.5000 [2 per cell]
3 Y 0.0000 0.3336 0.5000 [4 per cell]
4 Ho 0.0000 0.5000 0.0000 [2 per cell]
5 Tm 0.2473 0.5000 0.7470 [4 per cell]
6 Tm 0.2493 0.1661 0.7471 [8 per cell]

M_tot ... 0.0 μB/f.u.
Raw total energy ... -5.025 eV per atom

=====

Record 8
VASP calculation (GGA-PBE) on Ca5N2Cl5 after structural relaxation.

a b c (Å): 12.9604 3.8828 11.0256
angles (deg): 90.00 104.94 90.00
Space group C2/m (No. 12)
Unique sites:
1 Ca 0.0000 0.0000 0.0000 [2 per cell]
2 Ca 0.1007 0.0000 0.3690 [4 per cell]
3 Ca 0.1374 0.5000 0.8074 [4 per cell]
4 N 0.0359 0.0000 0.8012 [4 per cell]
5 Cl 0.0000 0.5000 0.5000 [2 per cell]
6 Cl 0.1619 0.5000 0.0662 [4 per cell]
7 Cl 0.2424 0.0000 0.6309 [4 per cell]

M_tot ... 1.0 μB/f.u.
Raw total energy ... -4.673 eV per atom

=====

Record 9
VASP calculation (GGA-PBE) on Ac5LaPr2Y after structural relaxation.

a b c (Å): 8.4483 8.4483 21.2430
angles (deg): 90.00 90.00 90.00
Space group I4/mcm (No. 140)
Unique sites:
1 Ac 0.0000 0.0000 0.0000 [4 per cell]
2 Ac 0.2198 0.2802 0.1341 [16 per cell]
3 La 0.0000 0.0000 0.2500 [4 per cell]
4 Pr 0.1227 0.3773 0.5000 [8 per cell]
5 Y 0.0000 0.5000 0.2500 [4 per cell]

M_tot ... 0.0 μB/f.u.
Raw total energy ... -4.339 eV per atom

=====

Record 10
VASP calculation (GGA-PBE) on HoAlAg after structural relaxation.

a b c (Å): 10.4730 4.5677 7.1683
angles (deg): 90.00 131.11 90.00
Space group C2/m (No. 12)
Unique sites:
1 Ho 0.0394 0.0000 0.2950 [4 per cell]
2 Al 0.1613 0.5000 0.1114 [4 per cell]
3 Ag 0.1729 0.5000 0.7223 [4 per cell]

M_tot ... 0.0 μB/f.u.
Raw total energy ... -4.120 eV per atom

=====

Record 11
VASP calculation (GGA-PBE) on Zn4Si3 after structural relaxation.

a b c (Å): 3.4713 3.4713 18.3691
angles (deg): 90.00 90.00 90.00
Space group I4/mmm (No. 139)
Unique sites:
1 Zn 0.0000 0.0000 0.0713 [4 per cell]
2 Zn 0.0000 0.0000 0.3619 [4 per cell]
3 Si 0.0000 0.0000 0.2248 [4 per cell]
4 Si 0.0000 0.0000 0.5000 [2 per cell]

Polymorph energy (0 for the lowest one) ... 0 meV/atom
M_tot ... 0.0 μB/f.u.
Raw total energy ... -2.742 eV per atom